1.
Material: Sn2HgBi2
Method: DFT, GGA-PBE
State: relaxed

Computed properties:
energy: -3.13 eV/atom
space-group type: I4/mmm
DOS(E_F): 1.92 states/eV per cell
formation enthalpy at 0 K: 88 meV per atom

a = 7.9427 Å, b = 7.9427 Å, c = 7.9427 Å
α = 142.87°, β = 142.87°, γ = 53.52°
Fractional coordinates of all 5 atoms:
Sn 0.2500 0.7500 0.5000
Sn 0.7500 0.2500 0.5000
Hg 0.0000 0.0000 0.0000
Bi 0.3797 0.3797 0.0000
Bi 0.6203 0.6203 0.0000

2.
Material: Pm3Tl2In3Pd
Method: DFT, GGA-PBE
State: relaxed

Computed properties:
energy: -4.13 eV/atom
space-group type: P-62m
DOS(E_F): 4.72 states/eV per cell
formation enthalpy at 0 K: -532 meV per atom

a = 7.6745 Å, b = 7.6745 Å, c = 4.5741 Å
α = 90.00°, β = 90.00°, γ = 120.00°
Fractional coordinates of all 9 atoms:
Pm 0.0000 0.3989 0.0000
Pm 0.3989 0.0000 0.0000
Pm 0.6011 0.6011 0.0000
Tl 0.3333 0.6667 0.5000
Tl 0.6667 0.3333 0.5000
In 0.0000 0.7654 0.5000
In 0.2346 0.2346 0.5000
In 0.7654 0.0000 0.5000
Pd 0.0000 0.0000 0.0000

3.
Material: RbZr2Au
Method: DFT, GGA-PBE
State: relaxed

Computed properties:
energy: -4.51 eV/atom
space-group type: I-42d
DOS(E_F): 11.98 states/eV per cell
formation enthalpy at 0 K: 827 meV per atom

a = 11.0118 Å, b = 11.0118 Å, c = 11.0118 Å
α = 152.68°, β = 152.68°, γ = 39.02°
Fractional coordinates of all 8 atoms:
Rb 0.0000 0.0000 0.0000
Rb 0.7500 0.2500 0.5000
Zr 0.3374 0.6250 0.2124
Zr 0.3750 0.5874 0.7124
Zr 0.4126 0.1250 0.7876
Zr 0.8750 0.6626 0.2876
Au 0.2500 0.7500 0.5000
Au 0.5000 0.5000 0.0000